Pr2HgPb, relaxed, DFT GGA-PBE; E = -3.903 eV per atom; density of states at the Fermi level = 0.918 states/eV per atom
1.0
-3.3835 -2.3823 1.0653
2.6015 -1.7961 4.2461
-1.9195 4.0108 2.8726
Pb Pr Hg
1 2 1
direct
0.5000 0.0000 0.0000
0.0000 0.5000 0.0000
0.0000 0.0000 0.5000
0.5000 0.5000 0.5000